3
Lattice="2.540 4.943 2.278 3.352 1.958 4.582 5.323 2.455 1.304" Properties=species:S:1:pos:R:3 comment="PBE KInC, relaxed" final_energy_ev_per_cell=-10.70 space_group="R3m, No. 160" e_form_mev_per_atom=787 crystal_system=trigonal n_ef_per_ev_fu=0.01 pbc="T T T"
K 10.585 8.830 7.705
C 8.448 7.047 6.149
In 4.867 4.060 3.543